(1)
Computed, not measured: a relaxed LiTbMgCd crystal at the PBE level of DFT.

- magnetic moment (Bohr magnetons per cell) = 0.00
- energy of formation from the pure elements (meV per atom) = -205

Geometry as POSCAR:
```
LiTbMgCd
1.0
-4.8132 -0.7391 1.2932
-1.3563 -4.2530 2.3361
-1.3504 0.1118 4.8528
Tb Mg Li Cd
1 1 1 1
direct
0.5000 0.5000 0.5000
0.0000 0.0000 0.0000
0.2500 0.2500 0.2500
0.7500 0.7500 0.7500
```

***

(2)
Computed, not measured: a relaxed ScBi3Ru crystal at the PBE level of DFT.

- magnetic moment (Bohr magnetons per cell) = 2.34
- ΔE to the lowest computed polymorph (meV/atom) = 559.5
- energy of formation from the pure elements (meV per atom) = 1014

Geometry as POSCAR:
```
ScBi3Ru
1.0
-5.1306 -0.2288 -1.9735
-0.3020 -5.3119 1.4010
-1.9636 1.4148 4.9409
Bi Sc Ru
3 1 1
direct
0.5000 0.0000 0.0000
0.0000 0.5000 0.0000
0.0000 0.0000 0.5000
0.0000 0.0000 0.0000
0.5000 0.5000 0.5000
```

***

(3)
Computed, not measured: a relaxed TcAs2W crystal at the PBE level of DFT.

- magnetic moment (Bohr magnetons per cell) = 0.00
- ΔE to the lowest computed polymorph (meV/atom) = 206.7
- energy of formation from the pure elements (meV per atom) = 238

Geometry as POSCAR:
```
TcAs2W
1.0
4.3159 -0.0044 0.0178
3.2724 2.8140 0.0178
1.0574 0.3915 5.1350
W As Tc
1 2 1
direct
0.2500 0.2500 0.2500
0.4981 0.4981 0.5040
0.0019 0.0019 0.9960
0.7500 0.7500 0.7500
```

***

(4)
Computed, not measured: a relaxed NiH6PdPb2 crystal at the PBE level of DFT.

- magnetic moment (Bohr magnetons per cell) = 0.00
- final energy (eV/atom) = -3.72

Geometry as POSCAR:
```
NiH6PdPb2
1.0
5.0478 0.0000 -0.0020
0.0000 5.0478 -0.0021
-2.5232 -2.5230 4.2623
H Pb Pd Ni
6 2 1 1
direct
0.2434 0.2439 0.9999
0.2433 0.7572 0.9999
0.1844 0.1849 0.3689
0.7567 0.2438 0.9999
0.8141 0.8146 0.6282
0.7567 0.7573 0.9998
0.2507 0.7511 0.5019
0.7507 0.2511 0.5019
0.4996 0.5001 0.9989
0.9994 0.9999 0.9987
```

***

(5)
Computed, not measured: a relaxed Tb8SmTm2 crystal at the PBE level of DFT.

- magnetic moment (Bohr magnetons per cell) = 0.00
- ΔE to the lowest computed polymorph (meV/atom) = 0.0
- energy of formation from the pure elements (meV per atom) = 115

Geometry as POSCAR:
```
Tb8SmTm2
1.0
-2.6894 2.1753 -4.3042
-5.1925 -6.2613 0.0800
-0.7786 6.0178 7.0699
Tb Sm Tm
8 1 2
direct
0.9999 0.2953 0.9998
0.6386 0.8446 0.2773
0.8361 0.8358 0.6722
0.1639 0.1642 0.3278
0.3614 0.1554 0.7227
0.3616 0.5673 0.7232
0.6384 0.4327 0.2768
0.0001 0.7047 0.0002
0.5000 0.0000 0.0000
0.1998 0.6995 0.3996
0.8002 0.3005 0.6004
```

***

(6)
Computed, not measured: a relaxed NaZn2Sn2 crystal at the PBE level of DFT.

- magnetic moment (Bohr magnetons per cell) = 0.00
- ΔE to the lowest computed polymorph (meV/atom) = 17.0
- energy of formation from the pure elements (meV per atom) = -56

Geometry as POSCAR:
```
NaZn2Sn2
1.0
-0.8559 0.4559 -4.4157
-3.7761 -2.4390 0.4801
-5.4153 4.0270 -0.8489
Sn Zn Na
2 2 1
direct
0.2500 0.7500 0.5000
0.7500 0.2500 0.5000
0.6010 0.6010 0.7980
0.3990 0.3990 0.2020
0.0000 0.0000 0.0000
```

***

(7)
Computed, not measured: a relaxed NaLi2CaMo crystal at the PBE level of DFT.

- magnetic moment (Bohr magnetons per cell) = 3.15
- energy of formation from the pure elements (meV per atom) = 1292

Geometry as POSCAR:
```
NaLi2CaMo
1.0
-3.8970 0.5219 3.9827
1.9014 -4.3556 2.4313
3.4872 3.1934 2.9937
Li Na Ca Mo
2 1 1 1
direct
0.0000 0.0000 0.5000
0.5000 0.0000 0.0000
0.5000 0.5000 0.5000
0.0000 0.0000 0.0000
0.0000 0.5000 0.0000
```

***

(8)
Computed, not measured: a relaxed OsPt2Rh3 crystal at the PBE level of DFT.

- magnetic moment (Bohr magnetons per cell) = 0.00
- ΔE to the lowest computed polymorph (meV/atom) = 142.5
- energy of formation from the pure elements (meV per atom) = 114

Geometry as POSCAR:
```
OsPt2Rh3
1.0
-0.5636 0.1417 2.6618
-1.8658 -5.1225 -0.1223
11.2355 -4.1544 2.6000
Pt Os Rh
4 2 6
direct
0.5000 0.2498 0.8430
0.5000 0.7502 0.1570
0.0000 0.2502 0.3430
0.0000 0.7498 0.6570
0.5000 0.0000 0.5000
0.0000 0.5000 0.0000
0.0000 0.2510 0.6522
0.0000 0.7490 0.3478
0.0000 0.0000 0.0000
0.5000 0.5000 0.5000
0.5000 0.7510 0.8478
0.5000 0.2490 0.1522
```

***

(9)
Computed, not measured: a relaxed Sm2AlZn16 crystal at the PBE level of DFT.

- magnetic moment (Bohr magnetons per cell) = 0.00
- energy of formation from the pure elements (meV per atom) = -248

Geometry as POSCAR:
```
Sm2AlZn16
1.0
-3.8219 -4.7024 -3.1414
5.1266 -3.9632 -2.1446
-0.2003 -4.4950 5.1325
Zn Sm Al
16 2 1
direct
0.2972 0.7027 0.0000
0.0011 0.0011 0.4977
0.2972 0.0000 0.7027
0.0000 0.2972 0.7027
0.7027 0.2972 0.0000
0.0011 0.4977 0.0011
0.3509 0.8363 0.3509
0.4977 0.0011 0.0011
0.0999 0.0999 0.0999
0.0000 0.7027 0.2972
0.6487 0.1622 0.6487
0.6487 0.6487 0.1622
0.1622 0.6487 0.6487
0.3509 0.3509 0.8363
0.7027 0.0000 0.2972
0.8363 0.3509 0.3509
0.6650 0.6650 0.6650
0.3347 0.3347 0.3347
0.9030 0.9030 0.9030
```

***

(10)
Computed, not measured: a relaxed CrFe2Cu crystal at the PBE level of DFT.

- magnetic moment (Bohr magnetons per cell) = 2.16
- energy of formation from the pure elements (meV per atom) = 188

Geometry as POSCAR:
```
CrFe2Cu
1.0
2.5246 0.0000 0.0000
0.0000 3.6320 0.0000
0.0000 0.0000 5.0502
Cu Fe Cr
1 2 1
direct
0.5000 0.5000 0.7556
0.0000 0.0000 0.0025
0.5000 0.5000 0.2571
0.0000 0.0000 0.4848
```

***

(11)
Computed, not measured: a relaxed Pm2AlSn2Au4 crystal at the PBE level of DFT.

- magnetic moment (Bohr magnetons per cell) = 0.00
- energy of formation from the pure elements (meV per atom) = -574

Geometry as POSCAR:
```
Pm2AlSn2Au4
1.0
6.6898 -0.1544 -0.2229
-3.3467 5.7946 0.2229
-3.3467 -1.8271 5.5035
Au Pm Al Sn
4 2 1 2
direct
0.5365 0.2682 0.2682
0.0000 0.7318 0.2682
0.0000 0.2682 0.7318
0.4635 0.7318 0.7318
0.5000 0.7500 0.2500
0.5000 0.2500 0.7500
0.0000 0.0000 0.0000
0.0000 0.3005 0.3005
0.0000 0.6995 0.6995
```

***

(12)
Computed, not measured: a relaxed PrDyYIn crystal at the PBE level of DFT.

- magnetic moment (Bohr magnetons per cell) = 1.15
- ΔE to the lowest computed polymorph (meV/atom) = 118.7
- energy of formation from the pure elements (meV per atom) = -148

Geometry as POSCAR:
```
PrDyYIn
1.0
-0.4779 3.1674 -4.5082
2.6738 -1.3750 -4.6416
-2.8312 -1.8356 -4.3817
In Y Dy Pr
1 1 1 1
direct
0.0000 0.0000 0.0000
0.2500 0.2500 0.2500
0.5000 0.5000 0.5000
0.7500 0.7500 0.7500
```

***

(13)
Computed, not measured: a relaxed Ce6ThIn2 crystal at the PBE level of DFT.

- magnetic moment (Bohr magnetons per cell) = 2.62
- energy of formation from the pure elements (meV per atom) = -137

Geometry as POSCAR:
```
Ce6ThIn2
1.0
-2.4633 -1.1075 1.7241
3.1947 -8.6477 -0.9905
2.7288 5.1531 7.2090
Ce In Th
6 2 1
direct
0.5000 0.0000 0.3419
0.5000 0.0000 0.6581
0.5000 0.3419 0.3419
0.5000 0.6581 0.6581
0.5000 0.3419 0.0000
0.5000 0.6581 0.0000
0.0000 0.3333 0.6667
0.0000 0.6667 0.3333
0.0000 0.0000 0.0000
```

***

(14)
Computed, not measured: a relaxed AcLa12Pm6 crystal at the PBE level of DFT.

- magnetic moment (Bohr magnetons per cell) = 0.00
- energy of formation from the pure elements (meV per atom) = 307

Geometry as POSCAR:
```
AcLa12Pm6
1.0
9.1772 0.2352 0.3312
-2.0471 8.9491 0.3312
-2.0471 -2.6368 8.5582
Pm La Ac
6 12 1
direct
0.2613 0.7700 0.7700
0.2300 0.2300 0.7387
0.2300 0.7387 0.2300
0.7700 0.2613 0.7700
0.7700 0.7700 0.2613
0.7387 0.2300 0.2300
0.1092 0.5000 0.8908
0.8284 0.5575 0.5575
0.1092 0.8908 0.5000
0.5575 0.8284 0.5575
0.5575 0.5575 0.8284
0.8908 0.1092 0.5000
0.4425 0.1716 0.4425
0.1716 0.4425 0.4425
0.4425 0.4425 0.1716
0.8908 0.5000 0.1092
0.5000 0.8908 0.1092
0.5000 0.1092 0.8908
0.0000 0.0000 0.0000
```

***

(15)
Computed, not measured: a relaxed ReSn2Au crystal at the PBE level of DFT.

- magnetic moment (Bohr magnetons per cell) = 0.00
- ΔE to the lowest computed polymorph (meV/atom) = 306.3
- energy of formation from the pure elements (meV per atom) = 899

Geometry as POSCAR:
```
ReSn2Au
1.0
6.1827 0.0000 0.0000
0.0000 6.1827 0.0000
3.0914 3.0914 6.1328
Au Re Sn
2 2 4
direct
0.0000 0.0000 0.0000
0.7500 0.2500 0.5000
0.5000 0.5000 0.0000
0.2500 0.7500 0.5000
0.6030 0.1250 0.2500
0.8750 0.8530 0.7500
0.1470 0.6250 0.2500
0.3750 0.3970 0.7500
```

***

(16)
Computed, not measured: a relaxed Ce4GaSeS2 crystal at the PBE level of DFT.

- magnetic moment (Bohr magnetons per cell) = 2.93
- final energy (eV/atom) = -6.35

Geometry as POSCAR:
```
Ce4GaSeS2
1.0
-3.1915 -2.2079 1.3235
2.2179 -5.5684 -3.9410
4.4356 -4.0510 3.9380
Ga S Se Ce
1 2 1 4
direct
0.5000 0.5000 0.0000
0.5000 0.0000 0.5000
0.0000 0.0000 0.0000
0.0000 0.5000 0.5000
0.5000 0.2356 0.7542
0.5000 0.7644 0.2458
0.0000 0.7660 0.7421
0.0000 0.2340 0.2579
```

***

(17)
Computed, not measured: a relaxed Tb2PrSn2 crystal at the PBE level of DFT.

- magnetic moment (Bohr magnetons per cell) = 0.00
- energy of formation from the pure elements (meV per atom) = -525

Geometry as POSCAR:
```
Tb2PrSn2
1.0
4.6065 0.4831 -0.2674
-0.5061 4.6040 -0.2674
-1.6777 -2.0813 7.2775
Tb Pr Sn
2 1 2
direct
0.7499 0.2501 0.5000
0.2501 0.7499 0.5000
0.0000 0.0000 0.0000
0.6009 0.6009 0.1995
0.3991 0.3991 0.8005
```

***

(18)
Computed, not measured: a relaxed Li6CdIn5 crystal at the PBE level of DFT.

- magnetic moment (Bohr magnetons per cell) = 0.00
- energy of formation from the pure elements (meV per atom) = -274

Geometry as POSCAR:
```
Li6CdIn5
1.0
-1.0348 -2.8051 3.7287
2.5281 -5.2998 -3.2852
5.9165 -0.0643 4.6566
In Li Cd
5 6 1
direct
0.0000 0.5000 0.0000
0.6678 0.0000 0.6643
0.3322 0.0000 0.3357
0.3331 0.5000 0.3339
0.6669 0.5000 0.6661
0.1655 0.2485 0.6690
0.5000 0.7542 0.0000
0.8345 0.7515 0.3310
0.1655 0.7515 0.6690
0.5000 0.2458 0.0000
0.8345 0.2485 0.3310
0.0000 0.0000 0.0000
```

***

(19)
Computed, not measured: a relaxed SrGd2Pt crystal at the PBE level of DFT.

- magnetic moment (Bohr magnetons per cell) = 14.56
- ΔE to the lowest computed polymorph (meV/atom) = 0.0
- energy of formation from the pure elements (meV per atom) = -546

Geometry as POSCAR:
```
SrGd2Pt
1.0
4.1725 0.0000 0.0000
2.0863 3.6135 0.0000
2.0863 1.2045 9.7430
Gd Sr Pt
2 1 1
direct
0.2823 0.2823 0.1532
0.7177 0.7177 0.8468
0.5000 0.5000 0.5000
0.0000 0.0000 0.0000
```

***

(20)
Computed, not measured: a relaxed PmCdHg6 crystal at the PBE level of DFT.

- magnetic moment (Bohr magnetons per cell) = 0.00
- ΔE to the lowest computed polymorph (meV/atom) = 243.6
- energy of formation from the pure elements (meV per atom) = 78

Geometry as POSCAR:
```
PmCdHg6
1.0
-4.8714 -1.4934 3.7721
-1.6901 -6.0647 0.7436
2.7674 -3.1460 7.6556
Hg Cd Pm
6 1 1
direct
0.5521 0.0693 0.3092
0.0693 0.5521 0.3092
0.9307 0.9307 0.6908
0.0693 0.0693 0.3092
0.9307 0.4479 0.6908
0.4479 0.9307 0.6908
0.5000 0.5000 0.5000
0.0000 0.0000 0.0000
```

***

(21)
Computed, not measured: a relaxed CeTlPt crystal at the PBE level of DFT.

- magnetic moment (Bohr magnetons per cell) = 0.00
- energy of formation from the pure elements (meV per atom) = 169

Geometry as POSCAR:
```
CeTlPt
1.0
-0.7293 -2.6990 1.1050
2.1082 0.2992 2.1221
-6.1403 4.6885 3.3097
Ce Tl Pt
1 1 1
direct
0.1117 0.1117 0.2234
0.7812 0.7812 0.5623
0.9572 0.9572 0.9143
```

***

(22)
Computed, not measured: a relaxed Pr4IrPtCl2 crystal at the PBE level of DFT.

- magnetic moment (Bohr magnetons per cell) = 0.00
- final energy (eV/atom) = -5.98

Geometry as POSCAR:
```
Pr4IrPtCl2
1.0
-0.1766 -0.6711 4.1442
-7.0320 -1.8578 -0.6005
4.3715 -6.5675 -0.8773
Pr Cl Ir Pt
4 2 1 1
direct
0.5000 0.2310 0.2048
0.5000 0.7690 0.7952
0.0000 0.7430 0.2052
0.0000 0.2570 0.7948
0.5000 0.0000 0.5000
0.0000 0.5000 0.5000
0.0000 0.0000 0.0000
0.5000 0.5000 0.0000
```

***

(23)
Computed, not measured: a relaxed Na3Tb2AlS6 crystal at the PBE level of DFT.

- magnetic moment (Bohr magnetons per cell) = 0.00
- final energy (eV/atom) = -5.05

Geometry as POSCAR:
```
Na3Tb2AlS6
1.0
6.7197 -0.0040 -0.0029
-3.3617 5.8184 -0.0029
-1.1230 -1.9445 6.6760
Al S Na Tb
1 6 3 2
direct
0.0000 0.0000 0.0000
0.9268 0.6199 0.7810
0.7679 0.7679 0.2143
0.6199 0.9268 0.7810
0.3801 0.0732 0.2190
0.0732 0.3801 0.2190
0.2321 0.2321 0.7857
0.1667 0.8333 0.5000
0.5000 0.5000 0.5000
0.8333 0.1667 0.5000
0.3333 0.6667 0.0000
0.6667 0.3333 0.0000
```

***

(24)
Computed, not measured: a relaxed Y4GeTe2As crystal at the PBE level of DFT.

- magnetic moment (Bohr magnetons per cell) = 0.00
- final energy (eV/atom) = -6.56

Geometry as POSCAR:
```
Y4GeTe2As
1.0
-2.7077 3.2535 -0.0906
-2.8548 -2.1979 6.3865
5.6371 4.7290 1.3481
Y Te Ge As
4 2 1 1
direct
0.0000 0.7373 0.2201
0.5000 0.7574 0.7806
0.0000 0.2627 0.7799
0.5000 0.2426 0.2194
0.5000 0.0000 0.5000
0.0000 0.5000 0.5000
0.5000 0.5000 0.0000
0.0000 0.0000 0.0000
```